(1)
B2OsW2 | GGA-PBE | relaxed

Values from the calculation:
Magnetic moment = 0.00 μB/f.u.
DFT total energy = -51.824 eV/f.u.
Mass density = 16.97 Mg/m³

Unit cell a=9.677 b=7.603 c=3.084 alpha=90.00 beta=90.00 gamma=90.00
Sites, in units of the cell vectors:
B: 0.768 0.378 0.000
B: 0.960 0.386 0.000
B: 0.040 0.614 0.000
B: 0.232 0.622 0.000
B: 0.460 0.114 0.500
B: 0.268 0.122 0.500
B: 0.732 0.878 0.500
B: 0.540 0.886 0.500
Os: 0.107 0.117 0.000
Os: 0.893 0.883 0.000
Os: 0.607 0.383 0.500
Os: 0.393 0.617 0.500
W: 0.639 0.075 0.000
W: 0.369 0.306 0.000
W: 0.631 0.694 0.000
W: 0.361 0.925 0.000
W: 0.869 0.194 0.500
W: 0.139 0.425 0.500
W: 0.861 0.575 0.500
W: 0.131 0.806 0.500



(2)
B2Os2W | GGA-PBE | relaxed

Values from the calculation:
Magnetic moment = 0.06 μB/f.u.
DFT total energy = -47.565 eV/f.u.
Mass density = 16.40 Mg/m³

Unit cell a=4.991 b=4.991 c=4.991 alpha=135.92 beta=135.92 gamma=64.10
Sites, in units of the cell vectors:
B: 0.393 0.393 0.000
B: 0.607 0.607 0.000
Os: 0.750 0.250 0.500
Os: 0.250 0.750 0.500
W: 0.000 0.000 0.000



(3)
B4OsW | GGA-PBE | relaxed

Values from the calculation:
Magnetic moment = 0.02 μB/f.u.
DFT total energy = -49.679 eV/f.u.
Mass density = 12.99 Mg/m³
Energy above the most stable polymorph in this dataset = 0 meV per atom

Unit cell a=2.968 b=2.968 c=6.994 alpha=90.00 beta=90.00 gamma=120.00
Sites, in units of the cell vectors:
B: 0.667 0.333 0.255
B: 0.333 0.667 0.255
B: 0.667 0.333 0.745
B: 0.333 0.667 0.745
Os: 0.000 0.000 0.000
W: 0.000 0.000 0.500



(4)
YB4Os | GGA-PBE | relaxed

Values from the calculation:
Magnetic moment = 0.61 μB/f.u.
DFT total energy = -45.165 eV/f.u.
Mass density = 8.79 Mg/m³
Energy above the most stable polymorph in this dataset = 443 meV per atom

Unit cell a=3.219 b=3.219 c=6.790 alpha=90.00 beta=90.00 gamma=120.00
Sites, in units of the cell vectors:
B: 0.667 0.333 0.282
B: 0.333 0.667 0.282
B: 0.667 0.333 0.718
B: 0.333 0.667 0.718
Os: 0.000 0.000 0.500
Y: 0.000 0.000 0.000



Q: The lowest DFT total energy belongs to which entry?
A: B2OsW2